Version P
10
Lattice="7.532 0.000 0.000 0.000 7.532 0.000 0.000 0.000 4.852" Properties=species:S:1:pos:R:3 comment="Hg2AsPb2 (GGA-PBE, relaxed)" mass_density_kg_m3=10744 dos_at_fermi_per_ev_cell=5.1 total_magnetization_mub_per_cell=0.000 space_group="No. 127" crystal_system=tetragonal pbc="T T T"
Pb 1.291 5.057 2.426
Pb 5.057 6.241 2.426
Pb 6.241 2.475 2.426
Pb 2.475 1.291 2.426
As 0.000 0.000 0.000
As 3.766 3.766 0.000
Hg 2.713 6.479 0.000
Hg 6.479 4.819 0.000
Hg 4.819 1.053 0.000
Hg 1.053 2.713 0.000

Version Q
5
Lattice="4.154 0.000 0.768 2.006 3.637 0.768 0.310 0.183 9.936" Properties=species:S:1:pos:R:3 comment="Hg2AsPb2 (GGA-PBE, relaxed)" mass_density_kg_m3=9928 dos_at_fermi_per_ev_cell=1.9 total_magnetization_mub_per_cell=0.000 space_group="No. 166" crystal_system=trigonal pbc="T T T"
Hg 1.348 0.796 4.326
Hg 5.122 3.025 7.146
As 0.000 0.000 0.000
Pb 3.799 2.243 2.686
Pb 2.671 1.577 8.787

Version R
5
Lattice="4.539 0.000 0.000 0.000 4.539 0.000 2.269 2.269 7.152" Properties=species:S:1:pos:R:3 comment="Hg2AsPb2 (GGA-PBE, relaxed)" mass_density_kg_m3=10037 dos_at_fermi_per_ev_cell=4.0 total_magnetization_mub_per_cell=0.000 space_group="No. 139" crystal_system=tetragonal pbc="T T T"
Pb 4.539 2.269 3.576
Pb 2.269 4.539 3.576
As 0.000 0.000 0.000
Hg 2.269 2.269 1.358
Hg 4.539 4.539 5.795

Stability verdict: version Q, ahead by 0.138 eV/atom

Version P
4
Lattice="3.991 -0.002 -0.003 -1.992 3.458 0.003 -1.996 -1.152 8.747" Properties=species:S:1:pos:R:3 comment="SnHgAsPb (GGA-PBE, relaxed)" mass_density_kg_m3=8275 dos_at_fermi_per_ev_cell=1.4 total_magnetization_mub_per_cell=0.000 space_group="No. 8" crystal_system=monoclinic pbc="T T T"
Sn 0.691 -0.400 8.053
Hg 0.693 -0.401 5.166
As -1.300 3.059 0.757
Pb 0.702 1.900 2.935

Version Q
4
Lattice="5.311 0.000 0.000 2.655 4.599 0.000 2.655 1.533 4.336" Properties=species:S:1:pos:R:3 comment="SnHgAsPb (GGA-PBE, relaxed)" mass_density_kg_m3=9430 dos_at_fermi_per_ev_cell=2.7 total_magnetization_mub_per_cell=0.000 space_group="No. 216" crystal_system=cubic pbc="T T T"
Pb 7.966 4.599 3.252
As 5.311 3.066 2.168
Hg 0.000 0.000 0.000
Sn 2.655 1.533 1.084

Stability verdict: version P, ahead by 0.087 eV/atom

Version P
10
Lattice="8.012 0.000 0.000 0.000 8.012 0.000 0.000 0.000 2.890" Properties=species:S:1:pos:R:3 comment="HgAs2Pd2 (GGA-PBE, relaxed)" mass_density_kg_m3=10082 dos_at_fermi_per_ev_cell=6.8 total_magnetization_mub_per_cell=0.000 space_group="No. 127" crystal_system=tetragonal pbc="T T T"
As 2.913 6.919 0.000
As 6.919 5.099 0.000
As 5.099 1.093 0.000
As 1.093 2.913 0.000
Hg 0.000 0.000 0.000
Hg 4.006 4.006 0.000
Pd 1.198 5.204 1.445
Pd 5.204 6.814 1.445
Pd 6.814 2.808 1.445
Pd 2.808 1.198 1.445

Version Q
10
Lattice="7.704 0.000 0.000 0.000 7.704 0.000 0.000 0.000 3.110" Properties=species:S:1:pos:R:3 comment="HgAs2Pd2 (GGA-PBE, relaxed)" mass_density_kg_m3=10134 dos_at_fermi_per_ev_cell=3.2 total_magnetization_mub_per_cell=0.000 space_group="No. 127" crystal_system=tetragonal pbc="T T T"
As 1.085 4.937 1.555
As 4.937 6.620 1.555
As 6.620 2.768 1.555
As 2.768 1.085 1.555
Hg 0.000 0.000 0.000
Hg 3.852 3.852 0.000
Pd 2.744 6.596 0.000
Pd 6.596 4.961 0.000
Pd 4.961 1.109 0.000
Pd 1.109 2.744 0.000

Stability verdict: version Q, ahead by 0.045 eV/atom